Entry i
Material: PrEr2O
Method: DFT, PBE
State: relaxed

Results
* DOS at the Fermi energy: 4.3 states/eV/f.u.
* SG: P4/mmm, No. 123
* total magnetic moment: 0.00 μB/f.u.
* calculated volume: 22.4 Å³ per atom

a = 3.1986 Å, b = 3.1986 Å, c = 8.7749 Å
α = 90.00°, β = 90.00°, γ = 90.00°
Fractional positions:
1 Pr 0.5000 0.5000 0.5000
2 Er 0.0000 0.0000 0.8249
3 Er 0.0000 0.0000 0.1751
4 O 0.5000 0.5000 0.0000

Entry ii
Material: PrEr2O
Method: DFT, PBE
State: relaxed

Results
* DOS at the Fermi energy: 3.8 states/eV/f.u.
* SG: R-3m, No. 166
* total magnetic moment: 0.00 μB/f.u.
* calculated volume: 24.4 Å³ per atom

a = 3.4567 Å, b = 3.4567 Å, c = 9.6289 Å
α = 79.66°, β = 79.66°, γ = 60.00°
Fractional positions:
1 O 0.5000 0.5000 0.5000
2 Er 0.8795 0.8795 0.3616
3 Er 0.1205 0.1205 0.6384
4 Pr 0.0000 0.0000 0.0000

The least stable of them is entry i.

Entry i
Material: Pr2ErO
Method: DFT, PBE
State: relaxed

Results
* DOS at the Fermi energy: 5.0 states/eV/f.u.
* SG: P4/mmm, No. 123
* total magnetic moment: 0.00 μB/f.u.
* calculated volume: 24.6 Å³ per atom

a = 3.2776 Å, b = 3.2776 Å, c = 9.1487 Å
α = 90.00°, β = 90.00°, γ = 90.00°
Fractional positions:
1 Pr 0.0000 0.0000 0.1719
2 Pr 0.0000 0.0000 0.8281
3 O 0.5000 0.5000 0.0000
4 Er 0.5000 0.5000 0.5000

Entry ii
Material: Pr2ErO
Method: DFT, PBE
State: relaxed

Results
* DOS at the Fermi energy: 4.0 states/eV/f.u.
* SG: R-3m, No. 166
* total magnetic moment: 0.00 μB/f.u.
* calculated volume: 27.1 Å³ per atom

a = 3.6618 Å, b = 3.6618 Å, c = 9.5635 Å
α = 78.96°, β = 78.96°, γ = 60.00°
Fractional positions:
1 O 0.5000 0.5000 0.5000
2 Pr 0.8822 0.8822 0.3533
3 Pr 0.1178 0.1178 0.6467
4 Er 0.0000 0.0000 0.0000

The least stable of them is entry i.

Entry i
Material: ErPuO
Method: DFT, PBE
State: relaxed

Results
* DOS at the Fermi energy: 6.7 states/eV/f.u.
* SG: P3m1, No. 156
* total magnetic moment: 5.17 μB/f.u.
* calculated volume: 20.4 Å³ per atom

a = 3.4236 Å, b = 3.4236 Å, c = 6.0199 Å
α = 90.00°, β = 90.00°, γ = 120.00°
Fractional positions:
1 Er 0.6667 0.3333 0.4369
2 Pu 0.0000 0.0000 0.9101
3 O 0.3333 0.6667 0.6530

Entry ii
Material: ErPuO
Method: DFT, PBE
State: relaxed

Results
* DOS at the Fermi energy: 6.4 states/eV/f.u.
* SG: P2_1/c, No. 14
* total magnetic moment: 6.10 μB/f.u.
* calculated volume: 20.0 Å³ per atom

a = 6.6946 Å, b = 6.2971 Å, c = 6.2143 Å
α = 113.44°, β = 90.00°, γ = 90.00°
Fractional positions:
1 Er 0.6406 0.9962 0.7203
2 Er 0.3594 0.0038 0.2797
3 Er 0.8594 0.9962 0.2203
4 Er 0.1406 0.0038 0.7797
5 O 0.8738 0.2148 0.9863
6 O 0.1262 0.7852 0.0137
7 O 0.3738 0.7852 0.5137
8 O 0.6262 0.2148 0.4863
9 Pu 0.6014 0.4734 0.2414
10 Pu 0.1014 0.5266 0.2586
11 Pu 0.8986 0.4734 0.7414
12 Pu 0.3986 0.5266 0.7586

The least stable of them is entry i.

Entry i
Material: Er2PuO
Method: DFT, PBE
State: relaxed

Results
* DOS at the Fermi energy: 7.0 states/eV/f.u.
* SG: P4/mmm, No. 123
* total magnetic moment: 5.74 μB/f.u.
* calculated volume: 20.5 Å³ per atom

a = 3.0833 Å, b = 3.0833 Å, c = 8.6268 Å
α = 90.00°, β = 90.00°, γ = 90.00°
Fractional positions:
1 Er 0.0000 0.0000 0.8194
2 Er 0.0000 0.0000 0.1806
3 O 0.5000 0.5000 0.0000
4 Pu 0.5000 0.5000 0.5000

Entry ii
Material: Er2PuO
Method: DFT, PBE
State: relaxed

Results
* DOS at the Fermi energy: 8.3 states/eV/f.u.
* SG: R-3m, No. 166
* total magnetic moment: 6.25 μB/f.u.
* calculated volume: 22.9 Å³ per atom

a = 3.3870 Å, b = 3.3870 Å, c = 9.4346 Å
α = 79.66°, β = 79.66°, γ = 60.00°
Fractional positions:
1 Er 0.8817 0.8817 0.3549
2 Er 0.1183 0.1183 0.6451
3 Pu 0.0000 0.0000 0.0000
4 O 0.5000 0.5000 0.5000

The least stable of them is entry i.